1.
Density functional theory data (PBE) for a relaxed structure of La3Cd2Pb4.

Computed properties:
Energy of formation in kJ/mol of atoms: -41.2
E_tot in eV/atom: -3.9207
DOS at the Fermi energy in states/eV per atom: 0.46

a b c (Å): 12.1236 5.0979 9.7505
angles (deg): 90.00 115.10 90.00
Space group C2/m (No. 12)
One atom of each set of equivalent atoms:
La1 0.0000 0.0000 0.0000 x2
La2 0.1476 0.5000 0.6784 x4
Cd1 0.1735 0.5000 0.3357 x4
Pb1 0.0617 0.0000 0.3785 x4
Pb2 0.1899 0.5000 0.0383 x4

=====

2.
Density functional theory data (PBE) for a relaxed structure of Ca2ZnAu4.

Computed properties:
Energy of formation in kJ/mol of atoms: -46.2
E_tot in eV/atom: -3.1053
DOS at the Fermi energy in states/eV per atom: 0.45

a b c (Å): 4.8961 17.6422 4.1653
angles (deg): 90.00 90.00 90.00
Space group Cmmm (No. 65)
One atom of each set of equivalent atoms:
Ca1 0.0000 0.1739 0.0000 x4
Zn1 0.0000 0.5000 0.5000 x2
Au1 0.0000 0.3036 0.5000 x4
Au2 0.0000 0.4171 0.0000 x4

=====

3.
Density functional theory data (PBE) for a relaxed structure of ReAu3.

Computed properties:
Energy of formation in kJ/mol of atoms: 50.3
E_tot in eV/atom: -5.0485
DOS at the Fermi energy in states/eV per atom: 0.80

a b c (Å): 2.7413 4.8692 5.1641
angles (deg): 90.00 90.19 90.00
Space group P2/m (No. 10)
One atom of each set of equivalent atoms:
Re1 0.0000 0.0000 0.0000 x1
Au1 0.2664 0.5000 0.7577 x2
Au2 0.5000 0.0000 0.5000 x1

=====

4.
Density functional theory data (PBE) for a relaxed structure of V4ZnW.

Computed properties:
Energy of formation in kJ/mol of atoms: 17.6
E_tot in eV/atom: -8.2680
DOS at the Fermi energy in states/eV per atom: 1.34

a b c (Å): 6.9828 6.9828 6.9828
angles (deg): 90.00 90.00 90.00
Space group F-43m (No. 216)
One atom of each set of equivalent atoms:
V1 0.1227 0.1227 0.1227 x16
Zn1 0.0000 0.0000 0.5000 x4
W1 0.2500 0.2500 0.7500 x4

=====

5.
Density functional theory data (PBE) for a relaxed structure of La4Tb4Tm3.

Computed properties:
Energy of formation in kJ/mol of atoms: 11.3
E_tot in eV/atom: -4.5779
Relative energy among the computed polymorphs in eV per formula unit: 0.568
DOS at the Fermi energy in states/eV per atom: 1.61

a b c (Å): 3.6322 9.5070 21.8453
angles (deg): 90.00 90.00 90.00
Space group Immm (No. 71)
One atom of each set of equivalent atoms:
La1 0.0000 0.1695 0.1445 x8
Tb1 0.0000 0.3142 0.0000 x4
Tb2 0.0000 0.5000 0.2336 x4
Tm1 0.0000 0.0000 0.3968 x4
Tm2 0.0000 0.5000 0.5000 x2

=====

6.
Density functional theory data (PBE) for a relaxed structure of K2BaBe.

Computed properties:
Energy of formation in kJ/mol of atoms: 46.6
E_tot in eV/atom: -1.4782
DOS at the Fermi energy in states/eV per atom: 0.85

a b c (Å): 4.0214 5.2411 19.5944
angles (deg): 90.00 90.00 90.00
Space group Immm (No. 71)
One atom of each set of equivalent atoms:
K1 0.0000 0.0000 0.1612 x4
Ba1 0.0000 0.5000 0.0000 x2
Be1 0.0000 0.5000 0.5000 x2

=====

7.
Density functional theory data (PBE) for a relaxed structure of Nd6Sm8Y.

Computed properties:
Energy of formation in kJ/mol of atoms: 11.0
E_tot in eV/atom: -4.7405
Relative energy among the computed polymorphs in eV per formula unit: 0.000
DOS at the Fermi energy in states/eV per atom: 1.45

a b c (Å): 9.2656 9.2656 21.0670
angles (deg): 90.00 90.00 120.00
Space group R-3 (No. 148, hexagonal axes)
One atom of each set of equivalent atoms:
Nd1 0.0549 0.8082 0.2086 x18
Sm1 0.0000 0.0000 0.0773 x6
Sm2 0.0806 0.5246 0.3066 x18
Y1 0.0000 0.0000 0.5000 x3

=====

8.
Density functional theory data (PBE) for a relaxed structure of Al3InS6.

Computed properties:
Energy relative to the elements, uncorrected in meV/atom: -725
E_tot in eV/atom: -4.5982
Relative energy among the computed polymorphs in eV per formula unit: 0.520
DOS at the Fermi energy in states/eV per atom: 0.00

a b c (Å): 10.4031 10.4031 12.6909
angles (deg): 90.00 90.00 120.00
Space group R-3 (No. 148, hexagonal axes)
One atom of each set of equivalent atoms:
Al1 0.0534 0.7814 0.2079 x18
In1 0.0000 0.0000 0.0000 x3
In2 0.0000 0.0000 0.5000 x3
S1 0.0173 0.8001 0.3921 x18
S2 0.0188 0.8241 0.8656 x18